## SmTh2Nb (PBE)

Data for an optimized crystal structure of SmTh2Nb.

POSCAR file:
```
SmTh2Nb
1.0
-0.3930 -3.2651 -1.6104
1.8292 1.2233 -2.9268
7.3508 -2.6121 3.5022
Th Sm Nb
2 1 1
Direct
0.0000 0.0000 0.2141
0.0000 0.0000 0.7859
0.5000 0.5000 0.5000
0.5000 0.5000 0.0000
```

Properties
Crystal system ... tetragonal
Total magnetization ... 0.00 μB per formula unit
ΔE_f ... 174 meV/atom
E_tot ... -0.53166 Ry/atom
Relative energy among the computed polymorphs ... 0.000 eV per atom
Volume ... 114.7 Å³/cell